No. 1
VASP calculation (PBE) on crystalline PmSnPO at its relaxed geometry.

a = 4.1726 Å, b = 4.1726 Å, c = 9.7281 Å
α = 90.00°, β = 90.00°, γ = 90.00°
Closest atoms and distances in Å follow each position.
Positions (direct):
P 0.2500 0.2500 0.7184  4 Sn 2.98
P 0.7500 0.7500 0.2816  4 Sn 2.98
Pm 0.7500 0.7500 0.8895  4 O 2.35
Pm 0.2500 0.2500 0.1105  4 O 2.35
Sn 0.2500 0.7500 0.5000  4 Sn 2.95, 4 P 2.98
Sn 0.7500 0.2500 0.5000  4 Sn 2.95, 4 P 2.98
O 0.7500 0.2500 0.0000  4 Pm 2.35
O 0.2500 0.7500 0.0000  4 Pm 2.35

## Properties
Uncorrected energy, eV/atom: -6.1476
Volume, Å³/f.u.: 84.7
Magnetization, μB/atom: 0.0012
Space-group type: P4/nmm (129)

No. 2
VASP calculation (PBE) on crystalline TbBiN2O at its relaxed geometry.

a = 4.1980 Å, b = 4.1980 Å, c = 4.1468 Å
α = 90.00°, β = 90.00°, γ = 90.00°
Closest atoms and distances in Å follow each position.
Positions (direct):
N 0.0000 0.5000 0.5000  2 Bi 2.10
N 0.5000 0.0000 0.5000  2 Bi 2.10
O 0.5000 0.5000 0.0000  2 Bi 2.07
Tb 0.0000 0.0000 0.0000  8 N 2.95, 4 O 2.97
Bi 0.5000 0.5000 0.5000  2 O 2.07, 4 N 2.10

## Properties
Uncorrected energy, eV/atom: -6.1504
Volume, Å³/f.u.: 73.1
Magnetization, μB/atom: 0.0000
Space-group type: P4/mmm (123)

No. 3
VASP calculation (PBE) on crystalline Lu2AlOs at its relaxed geometry.

a = 4.5707 Å, b = 4.5707 Å, c = 9.3350 Å
α = 90.00°, β = 90.00°, γ = 120.00°
Closest atoms and distances in Å follow each position.
Positions (direct):
Lu 0.3333 0.6667 0.0933  4 Lu 2.93-3.16, 4 Os 3.02-3.20, 3 Al 3.02
Lu 0.3333 0.6667 0.4067  4 Lu 2.93-3.16, 4 Os 3.02-3.20, 3 Al 3.02
Lu 0.6667 0.3333 0.9067  4 Lu 2.93-3.16, 4 Os 3.02-3.20, 3 Al 3.02
Lu 0.6667 0.3333 0.5933  4 Lu 2.93-3.16, 4 Os 3.02-3.20, 3 Al 3.02
Os 0.6667 0.3333 0.2500  3 Al 2.64
Os 0.3333 0.6667 0.7500  3 Al 2.64
Al 0.0000 0.0000 0.7500  3 Os 2.64
Al 0.0000 0.0000 0.2500  3 Os 2.64

## Properties
Uncorrected energy, eV/atom: -6.3393
Volume, Å³/f.u.: 84.4
Magnetization, μB/atom: 0.0001
Space-group type: P6_3/mmc (194)

No. 4
VASP calculation (PBE) on crystalline In2Ag2TeS3 at its relaxed geometry.

a = 7.2619 Å, b = 7.2619 Å, c = 6.1389 Å
α = 113.91°, β = 113.91°, γ = 49.17°
Closest atoms and distances in Å follow each position.
Positions (direct):
Ag 0.0072 0.7169 0.1334  3 S 2.58-2.60, 1 Te 2.80
Ag 0.2831 0.9928 0.8666  3 S 2.58-2.60, 1 Te 2.80
S 0.1174 0.3827 0.7346  2 In 2.52-2.54, 2 Ag 2.60
S 0.6173 0.8826 0.2654  2 In 2.52-2.54, 2 Ag 2.60
S 0.3759 0.6241 0.5000  2 In 2.51, 2 Ag 2.58
In 0.4787 0.2630 0.6082  3 S 2.51-2.54, 1 Te 2.79
In 0.7370 0.5213 0.3918  3 S 2.51-2.54, 1 Te 2.79
Te 0.8834 0.1166 0.0000  2 In 2.79, 2 Ag 2.80

## Properties
Uncorrected energy, eV/atom: -3.7118
Volume, Å³/f.u.: 219.3
Space-group type: C2 (5)

Question: uncorrected energy of number 4 (In2Ag2TeS3)?
Answer: -3.7118 eV/atom

Question: Which formula does entry 2 have?
Answer: TbBiN2O